# AcIn2SiPt5, optimized geometry, DFT PBE
# - Electronic total energy: -0.416 Ry/atom
data_AcIn2SiPt5
_chemical_formula_sum 'Ac2 In4 Si2 Pt10'
_cell_length_a 4.728
_cell_length_b 5.739
_cell_length_c 14.165
_cell_angle_alpha 90.00
_cell_angle_beta 90.00
_cell_angle_gamma 90.00
_space_group_name_H-M_alt 'I m m m'
_space_group_IT_number 71
_space_group_name_Hall '-I 2 2'
loop_
_atom_site_label
_atom_site_type_symbol
_atom_site_fract_x
_atom_site_fract_y
_atom_site_fract_z
Ac1 Ac 0.000 0.000 0.000
In1 In 0.000 0.500 0.199
Si1 Si 0.000 0.000 0.500
Pt1 Pt 0.000 0.257 0.365
Pt2 Pt 0.000 0.500 0.000


# Ac3In2Si2Pt4, optimized geometry, DFT PBE
# - Electronic total energy: -0.419 Ry/atom
data_Ac3In2Si2Pt4
_chemical_formula_sum 'Ac3 In2 Si2 Pt4'
_cell_length_a 4.3870
_cell_length_b 4.3870
_cell_length_c 16.4202
_cell_angle_alpha 90.00
_cell_angle_beta 90.00
_cell_angle_gamma 120.00
_space_group_name_H-M_alt 'P -3 m 1'
_space_group_IT_number 164
_space_group_name_Hall '-P 3 2"'
loop_
_atom_site_label
_atom_site_type_symbol
_atom_site_fract_x
_atom_site_fract_y
_atom_site_fract_z
Ac1 Ac 0.0000 0.0000 0.0000
Ac2 Ac 0.0000 0.0000 0.2667
In1 In 0.3333 0.6667 0.5589
Si1 Si 0.3333 0.6667 0.1334
Pt1 Pt 0.3333 0.6667 0.3838
Pt2 Pt 0.3333 0.6667 0.8635


# Ac2InSi4Pt3, optimized geometry, DFT PBE
# - Electronic total energy: -0.439 Ry/atom
data_Ac2InSi4Pt3
_chemical_formula_sum 'Ac2 In1 Si4 Pt3'
_cell_length_a 4.390
_cell_length_b 4.390
_cell_length_c 10.444
_cell_angle_alpha 90.00
_cell_angle_beta 90.00
_cell_angle_gamma 90.00
_space_group_name_H-M_alt 'P -4 m 2'
_space_group_IT_number 115
_space_group_name_Hall 'P -4 -2'
loop_
_atom_site_label
_atom_site_type_symbol
_atom_site_fract_x
_atom_site_fract_y
_atom_site_fract_z
Ac1 Ac 0.000 0.500 0.239
In1 In 0.000 0.000 0.500
Si1 Si 0.000 0.000 0.000
Si2 Si 0.000 0.500 0.649
Si3 Si 0.500 0.500 0.000
Pt1 Pt 0.000 0.500 0.887
Pt2 Pt 0.500 0.500 0.500


# Ac2SmIn12Pt3, optimized geometry, DFT PBE
# - Electronic total energy: -0.273 Ry/atom
data_Ac2SmIn12Pt3
_chemical_formula_sum 'Ac6 Sm3 In36 Pt9'
_cell_length_a 9.6103
_cell_length_b 9.6103
_cell_length_c 20.4455
_cell_angle_alpha 90.00
_cell_angle_beta 90.00
_cell_angle_gamma 120.00
_space_group_name_H-M_alt 'R -3 m'
_space_group_IT_number 166
_space_group_name_Hall '-R 3 2"'
loop_
_atom_site_label
_atom_site_type_symbol
_atom_site_fract_x
_atom_site_fract_y
_atom_site_fract_z
Ac1 Ac 0.0000 0.0000 0.0837
Sm1 Sm 0.0000 0.0000 0.5000
In1 In 0.0565 0.5283 0.3009
In2 In 0.0773 0.5386 0.8729
Pt1 Pt 0.0000 0.5000 0.0000


# AcSmInPt, optimized geometry, DFT PBE
# - Electronic total energy: -0.368 Ry/atom
data_AcSmInPt
_chemical_formula_sum 'Ac4 Sm4 In4 Pt4'
_cell_length_a 7.668
_cell_length_b 7.668
_cell_length_c 7.668
_cell_angle_alpha 90.00
_cell_angle_beta 90.00
_cell_angle_gamma 90.00
_space_group_name_H-M_alt 'F -4 3 m'
_space_group_IT_number 216
_space_group_name_Hall 'F -4 2 3'
loop_
_atom_site_label
_atom_site_type_symbol
_atom_site_fract_x
_atom_site_fract_y
_atom_site_fract_z
Ac1 Ac 0.000 0.000 0.000
Sm1 Sm 0.000 0.000 0.500
In1 In 0.250 0.250 0.250
Pt1 Pt 0.250 0.250 0.750


# Ac2InSnPt6, optimized geometry, DFT PBE
# - Electronic total energy: -0.397 Ry/atom
data_Ac2InSnPt6
_chemical_formula_sum 'Ac8 In4 Sn4 Pt24'
_cell_length_a 10.055
_cell_length_b 10.055
_cell_length_c 10.055
_cell_angle_alpha 90.00
_cell_angle_beta 90.00
_cell_angle_gamma 90.00
_space_group_name_H-M_alt 'F m -3 m'
_space_group_IT_number 225
_space_group_name_Hall '-F 4 2 3'
loop_
_atom_site_label
_atom_site_type_symbol
_atom_site_fract_x
_atom_site_fract_y
_atom_site_fract_z
Ac1 Ac 0.250 0.250 0.250
In1 In 0.000 0.000 0.000
Sn1 Sn 0.000 0.000 0.500
Pt1 Pt 0.000 0.000 0.251


# AcInSnPt3, optimized geometry, DFT PBE
# - Electronic total energy: -0.401 Ry/atom
data_AcInSnPt3
_chemical_formula_sum 'Ac4 In4 Sn4 Pt12'
_cell_length_a 5.897
_cell_length_b 17.576
_cell_length_c 5.894
_cell_angle_alpha 90.00
_cell_angle_beta 90.00
_cell_angle_gamma 90.00
_space_group_name_H-M_alt 'C m c m'
_space_group_IT_number 63
_space_group_name_Hall '-C 2c 2'
loop_
_atom_site_label
_atom_site_type_symbol
_atom_site_fract_x
_atom_site_fract_y
_atom_site_fract_z
Ac1 Ac 0.000 0.215 0.250
In1 In 0.000 0.398 0.750
Sn1 Sn 0.000 0.094 0.750
Pt1 Pt 0.000 0.245 0.750
Pt2 Pt 0.245 0.500 0.000


# Ac2InSn3Pt4, optimized geometry, DFT PBE
# - Electronic total energy: -0.412 Ry/atom
data_Ac2InSn3Pt4
_chemical_formula_sum 'Ac2 In1 Sn3 Pt4'
_cell_length_a 4.704
_cell_length_b 4.704
_cell_length_c 10.812
_cell_angle_alpha 90.00
_cell_angle_beta 90.00
_cell_angle_gamma 90.00
_space_group_name_H-M_alt 'P -4 m 2'
_space_group_IT_number 115
_space_group_name_Hall 'P -4 -2'
loop_
_atom_site_label
_atom_site_type_symbol
_atom_site_fract_x
_atom_site_fract_y
_atom_site_fract_z
Ac1 Ac 0.000 0.500 0.243
In1 In 0.000 0.000 0.500
Sn1 Sn 0.000 0.500 0.877
Sn2 Sn 0.500 0.500 0.500
Pt1 Pt 0.000 0.000 0.000
Pt2 Pt 0.000 0.500 0.632
Pt3 Pt 0.500 0.500 0.000


# Ac2In3SnPt4, optimized geometry, DFT PBE
# - Electronic total energy: -0.386 Ry/atom
data_Ac2In3SnPt4
_chemical_formula_sum 'Ac2 In3 Sn1 Pt4'
_cell_length_a 4.795
_cell_length_b 4.795
_cell_length_c 10.504
_cell_angle_alpha 90.00
_cell_angle_beta 90.00
_cell_angle_gamma 90.00
_space_group_name_H-M_alt 'P -4 m 2'
_space_group_IT_number 115
_space_group_name_Hall 'P -4 -2'
loop_
_atom_site_label
_atom_site_type_symbol
_atom_site_fract_x
_atom_site_fract_y
_atom_site_fract_z
Ac1 Ac 0.000 0.500 0.238
In1 In 0.000 0.500 0.880
In2 In 0.500 0.500 0.500
Sn1 Sn 0.000 0.000 0.500
Pt1 Pt 0.000 0.000 0.000
Pt2 Pt 0.000 0.500 0.627
Pt3 Pt 0.500 0.500 0.000


# Ac2InSn4Pt3, optimized geometry, DFT PBE
# - Electronic total energy: -0.389 Ry/atom
data_Ac2InSn4Pt3
_chemical_formula_sum 'Ac2 In1 Sn4 Pt3'
_cell_length_a 4.646
_cell_length_b 4.646
_cell_length_c 11.475
_cell_angle_alpha 90.00
_cell_angle_beta 90.00
_cell_angle_gamma 90.00
_space_group_name_H-M_alt 'P -4 m 2'
_space_group_IT_number 115
_space_group_name_Hall 'P -4 -2'
loop_
_atom_site_label
_atom_site_type_symbol
_atom_site_fract_x
_atom_site_fract_y
_atom_site_fract_z
Ac1 Ac 0.000 0.500 0.245
In1 In 0.000 0.000 0.500
Sn1 Sn 0.000 0.000 0.000
Sn2 Sn 0.000 0.500 0.643
Sn3 Sn 0.500 0.500 0.000
Pt1 Pt 0.000 0.500 0.874
Pt2 Pt 0.500 0.500 0.500


# SrAcInPt, optimized geometry, DFT PBE
# - Electronic total energy: -0.308 Ry/atom
data_SrAcInPt
_chemical_formula_sum 'Sr4 Ac4 In4 Pt4'
_cell_length_a 7.805
_cell_length_b 7.805
_cell_length_c 7.805
_cell_angle_alpha 90.00
_cell_angle_beta 90.00
_cell_angle_gamma 90.00
_space_group_name_H-M_alt 'F -4 3 m'
_space_group_IT_number 216
_space_group_name_Hall 'F -4 2 3'
loop_
_atom_site_label
_atom_site_type_symbol
_atom_site_fract_x
_atom_site_fract_y
_atom_site_fract_z
Sr1 Sr 0.000 0.000 0.000
Ac1 Ac 0.000 0.000 0.500
In1 In 0.250 0.250 0.750
Pt1 Pt 0.250 0.250 0.250


# Ac2TbInPt6, optimized geometry, DFT PBE
# - Electronic total energy: -0.399 Ry/atom
data_Ac2TbInPt6
_chemical_formula_sum 'Ac8 Tb4 In4 Pt24'
_cell_length_a 10.197
_cell_length_b 10.197
_cell_length_c 10.197
_cell_angle_alpha 90.00
_cell_angle_beta 90.00
_cell_angle_gamma 90.00
_space_group_name_H-M_alt 'F m -3 m'
_space_group_IT_number 225
_space_group_name_Hall '-F 4 2 3'
loop_
_atom_site_label
_atom_site_type_symbol
_atom_site_fract_x
_atom_site_fract_y
_atom_site_fract_z
Ac1 Ac 0.250 0.250 0.250
Tb1 Tb 0.000 0.000 0.000
In1 In 0.000 0.000 0.500
Pt1 Pt 0.000 0.000 0.253


# AcTbInPt, optimized geometry, DFT PBE
# - Electronic total energy: -0.367 Ry/atom
data_AcTbInPt
_chemical_formula_sum 'Ac4 Tb4 In4 Pt4'
_cell_length_a 7.613
_cell_length_b 7.613
_cell_length_c 7.613
_cell_angle_alpha 90.00
_cell_angle_beta 90.00
_cell_angle_gamma 90.00
_space_group_name_H-M_alt 'F -4 3 m'
_space_group_IT_number 216
_space_group_name_Hall 'F -4 2 3'
loop_
_atom_site_label
_atom_site_type_symbol
_atom_site_fract_x
_atom_site_fract_y
_atom_site_fract_z
Ac1 Ac 0.000 0.000 0.000
Tb1 Tb 0.000 0.000 0.500
In1 In 0.250 0.250 0.250
Pt1 Pt 0.250 0.250 0.750


# Ac2TlInPt, optimized geometry, DFT PBE
# - Electronic total energy: -0.335 Ry/atom
data_Ac2TlInPt
_chemical_formula_sum 'Ac4 Tl2 In2 Pt2'
_cell_length_a 8.267
_cell_length_b 4.751
_cell_length_c 8.334
_cell_angle_alpha 90.00
_cell_angle_beta 110.26
_cell_angle_gamma 90.00
_space_group_name_H-M_alt 'P 1 21/m 1'
_space_group_IT_number 11
_space_group_name_Hall '-P 2yb'
loop_
_atom_site_label
_atom_site_type_symbol
_atom_site_fract_x
_atom_site_fract_y
_atom_site_fract_z
Ac1 Ac 0.032 0.250 0.210
Ac2 Ac 0.331 0.750 0.605
Tl1 Tl 0.339 0.750 0.182
In1 In 0.335 0.250 0.941
Pt1 Pt 0.084 0.250 0.608


# Ac2TlInPt6, optimized geometry, DFT PBE
# - Electronic total energy: -0.371 Ry/atom
data_Ac2TlInPt6
_chemical_formula_sum 'Ac8 Tl4 In4 Pt24'
_cell_length_a 10.116
_cell_length_b 10.116
_cell_length_c 10.116
_cell_angle_alpha 90.00
_cell_angle_beta 90.00
_cell_angle_gamma 90.00
_space_group_name_H-M_alt 'F m -3 m'
_space_group_IT_number 225
_space_group_name_Hall '-F 4 2 3'
loop_
_atom_site_label
_atom_site_type_symbol
_atom_site_fract_x
_atom_site_fract_y
_atom_site_fract_z
Ac1 Ac 0.250 0.250 0.250
Tl1 Tl 0.000 0.000 0.000
In1 In 0.000 0.000 0.500
Pt1 Pt 0.000 0.000 0.253


# Ac2TmIn12Pt3, optimized geometry, DFT PBE
# - Electronic total energy: -0.270 Ry/atom
data_Ac2TmIn12Pt3
_chemical_formula_sum 'Ac6 Tm3 In36 Pt9'
_cell_length_a 9.6119
_cell_length_b 9.6119
_cell_length_c 20.3852
_cell_angle_alpha 90.00
_cell_angle_beta 90.00
_cell_angle_gamma 120.00
_space_group_name_H-M_alt 'R -3 m'
_space_group_IT_number 166
_space_group_name_Hall '-R 3 2"'
loop_
_atom_site_label
_atom_site_type_symbol
_atom_site_fract_x
_atom_site_fract_y
_atom_site_fract_z
Ac1 Ac 0.0000 0.0000 0.0846
Tm1 Tm 0.0000 0.0000 0.5000
In1 In 0.0594 0.5297 0.2985
In2 In 0.0699 0.5349 0.8717
Pt1 Pt 0.0000 0.5000 0.0000


# Ac2UInPt6, optimized geometry, DFT PBE
# - Electronic total energy: -0.456 Ry/atom
data_Ac2UInPt6
_chemical_formula_sum 'Ac8 U4 In4 Pt24'
_cell_length_a 10.214
_cell_length_b 10.214
_cell_length_c 10.214
_cell_angle_alpha 90.00
_cell_angle_beta 90.00
_cell_angle_gamma 90.00
_space_group_name_H-M_alt 'F m -3 m'
_space_group_IT_number 225
_space_group_name_Hall '-F 4 2 3'
loop_
_atom_site_label
_atom_site_type_symbol
_atom_site_fract_x
_atom_site_fract_y
_atom_site_fract_z
Ac1 Ac 0.250 0.250 0.250
U1 U 0.000 0.000 0.000
In1 In 0.000 0.000 0.500
Pt1 Pt 0.000 0.000 0.247


# Ac2YInPt6, optimized geometry, DFT PBE
# - Electronic total energy: -0.452 Ry/atom
data_Ac2YInPt6
_chemical_formula_sum 'Ac2 Y1 In1 Pt6'
_cell_length_a 5.650
_cell_length_b 7.026
_cell_length_c 7.218
_cell_angle_alpha 81.90
_cell_angle_beta 67.00
_cell_angle_gamma 66.30
_space_group_name_H-M_alt 'P -1'
_space_group_IT_number 2
_space_group_name_Hall '-P 1'
loop_
_atom_site_label
_atom_site_type_symbol
_atom_site_fract_x
_atom_site_fract_y
_atom_site_fract_z
Ac1 Ac 0.241 0.319 0.200
Y1 Y 0.000 0.000 0.000
In1 In 0.500 0.500 0.500
Pt1 Pt 0.253 0.750 0.253
Pt2 Pt 0.254 0.917 0.584
Pt3 Pt 0.256 0.252 0.751


# AcYInPt, optimized geometry, DFT PBE
# - Electronic total energy: -0.401 Ry/atom
data_AcYInPt
_chemical_formula_sum 'Ac4 Y4 In4 Pt4'
_cell_length_a 7.606
_cell_length_b 7.606
_cell_length_c 7.606
_cell_angle_alpha 90.00
_cell_angle_beta 90.00
_cell_angle_gamma 90.00
_space_group_name_H-M_alt 'F -4 3 m'
_space_group_IT_number 216
_space_group_name_Hall 'F -4 2 3'
loop_
_atom_site_label
_atom_site_type_symbol
_atom_site_fract_x
_atom_site_fract_y
_atom_site_fract_z
Ac1 Ac 0.000 0.000 0.000
Y1 Y 0.000 0.000 0.500
In1 In 0.250 0.250 0.750
Pt1 Pt 0.250 0.250 0.250


# Ac2YIn12Pt3, optimized geometry, DFT PBE
# - Electronic total energy: -0.279 Ry/atom
data_Ac2YIn12Pt3
_chemical_formula_sum 'Ac6 Y3 In36 Pt9'
_cell_length_a 9.6147
_cell_length_b 9.6147
_cell_length_c 20.3868
_cell_angle_alpha 90.00
_cell_angle_beta 90.00
_cell_angle_gamma 120.00
_space_group_name_H-M_alt 'R -3 m'
_space_group_IT_number 166
_space_group_name_Hall '-R 3 2"'
loop_
_atom_site_label
_atom_site_type_symbol
_atom_site_fract_x
_atom_site_fract_y
_atom_site_fract_z
Ac1 Ac 0.0000 0.0000 0.0839
Y1 Y 0.0000 0.0000 0.5000
In1 In 0.0581 0.5290 0.2997
In2 In 0.0738 0.5369 0.8723
Pt1 Pt 0.0000 0.5000 0.0000


# Ac2Zn2InPt5, optimized geometry, DFT PBE
# - Electronic total energy: -0.375 Ry/atom
data_Ac2Zn2InPt5
_chemical_formula_sum 'Ac4 Zn4 In2 Pt10'
_cell_length_a 10.223
_cell_length_b 10.223
_cell_length_c 3.858
_cell_angle_alpha 90.00
_cell_angle_beta 90.00
_cell_angle_gamma 90.00
_space_group_name_H-M_alt 'P 4/m b m'
_space_group_IT_number 127
_space_group_name_Hall '-P 4 2ab'
loop_
_atom_site_label
_atom_site_type_symbol
_atom_site_fract_x
_atom_site_fract_y
_atom_site_fract_z
Ac1 Ac 0.181 0.319 0.000
Zn1 Zn 0.116 0.616 0.000
In1 In 0.000 0.000 0.000
Pt1 Pt 0.000 0.500 0.500
Pt2 Pt 0.060 0.789 0.500


# Ac3Zn2InPt6, optimized geometry, DFT PBE
# - Electronic total energy: -0.385 Ry/atom
data_Ac3Zn2InPt6
_chemical_formula_sum 'Ac3 Zn2 In1 Pt6'
_cell_length_a 5.9503
_cell_length_b 5.9503
_cell_length_c 9.1785
_cell_angle_alpha 90.00
_cell_angle_beta 90.00
_cell_angle_gamma 120.00
_space_group_name_H-M_alt 'P -3 m 1'
_space_group_IT_number 164
_space_group_name_Hall '-P 3 2"'
loop_
_atom_site_label
_atom_site_type_symbol
_atom_site_fract_x
_atom_site_fract_y
_atom_site_fract_z
Ac1 Ac 0.0000 0.0000 0.0000
Ac2 Ac 0.3333 0.6667 0.6313
Zn1 Zn 0.3333 0.6667 0.0471
In1 In 0.0000 0.0000 0.5000
Pt1 Pt 0.1760 0.3520 0.2771


Results for mass density: 12.62, 10.60, 10.45, 7.82, 10.13, 12.14, 11.37, 11.84, 11.67, 10.92, 8.72, 11.89, 10.47, 10.47, 12.47, 7.90, 12.32, 12.57, 9.45, 7.65, 13.80, 12.37 (in g/cm³, following the order of the records).